(1)
VASP calculation (PBE) on Ac2Pm6Sm after structural relaxation.

Values from the calculation:
raw total energy: -4.47 eV/atom
excess energy over the best structure of this formula in the dataset: 0.0 meV per atom
calculated volume: 666.51 Å³ per cell
M_tot: 0.0 μB/cell
symmetry: C2/c, No. 15
energy of formation from the pure elements: 0.13 eV per atom

The structure in POSCAR format:
```
Ac2Pm6Sm
1.0
6.6346 -7.3582 0.0000
6.6346 7.3582 0.0000
-1.5524 0.0000 6.8264
Ac Pm Sm
4 12 2
Direct
0.1165 0.1796 0.3790
0.1796 0.1165 0.8790
0.8204 0.8835 0.1210
0.8835 0.8204 0.6210
0.0405 0.4546 0.7412
0.1653 0.7809 0.0062
0.2191 0.8347 0.4938
0.2816 0.4666 0.1791
0.4546 0.0405 0.2412
0.4666 0.2816 0.6791
0.5334 0.7184 0.3209
0.5454 0.9595 0.7588
0.7184 0.5334 0.8209
0.7809 0.1653 0.5062
0.8347 0.2191 0.9938
0.9595 0.5454 0.2588
0.3848 0.6152 0.7500
0.6152 0.3848 0.2500
```

---

(2)
VASP calculation (PBE) on AcPm5Sm3 after structural relaxation.

Values from the calculation:
raw total energy: -4.17 eV/atom
excess energy over the best structure of this formula in the dataset: 364.7 meV per atom
calculated volume: 733.17 Å³ per cell
M_tot: 0.0 μB/cell
symmetry: C2/m, No. 12
energy of formation from the pure elements: 0.50 eV per atom

The structure in POSCAR format:
```
AcPm5Sm3
1.0
6.4165 -5.8091 0.0000
6.4165 5.8091 0.0000
-2.7491 0.0000 9.8348
Ac Pm Sm
2 10 6
Direct
0.2483 0.2483 0.2489
0.7517 0.7517 0.7511
0.1398 0.6441 0.0897
0.2403 0.2403 0.5875
0.2440 0.7560 0.5000
0.2610 0.2610 0.9179
0.3559 0.8602 0.9103
0.6441 0.1398 0.0897
0.7390 0.7390 0.0821
0.7560 0.2440 0.5000
0.7597 0.7597 0.4125
0.8602 0.3559 0.9103
0.0000 0.0000 0.0000
0.0025 0.0025 0.6705
0.4828 0.4828 0.8201
0.5000 0.5000 0.5000
0.5172 0.5172 0.1799
0.9975 0.9975 0.3295
```

---

(3)
VASP calculation (PBE) on AcPm4Sm6 after structural relaxation.

Values from the calculation:
raw total energy: -4.36 eV/atom
calculated volume: 397.35 Å³ per cell
M_tot: 0.0 μB/cell
symmetry: I-42m, No. 121
energy of formation from the pure elements: 0.32 eV per atom

The structure in POSCAR format:
```
AcPm4Sm6
1.0
-3.3640 3.3640 8.7783
3.3640 -3.3640 8.7783
3.3640 3.3640 -8.7783
Ac Pm Sm
1 4 6
Direct
0.0000 0.0000 0.0000
0.0108 0.0108 0.3814
0.3705 0.9892 0.0000
0.6295 0.6295 0.6186
0.9892 0.3705 0.0000
0.0000 0.5000 0.5000
0.1930 0.5517 0.0000
0.4483 0.4483 0.6412
0.5000 0.0000 0.5000
0.5517 0.1930 0.0000
0.8070 0.8070 0.3588
```

---

(4)
VASP calculation (PBE) on AcPm6Sm8 after structural relaxation.

Values from the calculation:
raw total energy: -4.54 eV/atom
excess energy over the best structure of this formula in the dataset: 0.0 meV per atom
calculated volume: 527.93 Å³ per cell
M_tot: 0.0 μB/cell
symmetry: R-3, No. 148
energy of formation from the pure elements: 0.15 eV per atom

The structure in POSCAR format:
```
AcPm6Sm8
1.0
4.7316 2.7318 6.8073
-4.7316 2.7318 6.8073
0.0000 -5.4636 6.8073
Ac Pm Sm
1 6 8
Direct
0.0000 0.0000 0.0000
0.1062 0.5503 0.2696
0.2696 0.1062 0.5503
0.4497 0.7304 0.8938
0.5503 0.2696 0.1062
0.7304 0.8938 0.4497
0.8938 0.4497 0.7304
0.0824 0.7744 0.6488
0.2256 0.3512 0.9176
0.3512 0.9176 0.2256
0.4289 0.4289 0.4289
0.5711 0.5711 0.5711
0.6488 0.0824 0.7744
0.7744 0.6488 0.0824
0.9176 0.2256 0.3512
```

---

(5)
VASP calculation (PBE) on Ac2PmSm after structural relaxation.

Values from the calculation:
raw total energy: -4.39 eV/atom
excess energy over the best structure of this formula in the dataset: 5.6 meV per atom
calculated volume: 156.36 Å³ per cell
M_tot: 0.0 μB/cell
symmetry: P4/mmm, No. 123
energy of formation from the pure elements: 0.04 eV per atom

The structure in POSCAR format:
```
Ac2PmSm
1.0
3.8672 0.0000 0.0000
0.0000 3.8672 0.0000
0.0000 0.0000 10.4552
Ac Pm Sm
2 1 1
Direct
0.0000 0.0000 0.2492
0.0000 0.0000 0.7508
0.5000 0.5000 0.5000
0.5000 0.5000 0.0000
```

---

(6)
VASP calculation (PBE) on AcPm7Sm3 after structural relaxation.

Values from the calculation:
raw total energy: -4.49 eV/atom
excess energy over the best structure of this formula in the dataset: 0.0 meV per atom
calculated volume: 405.45 Å³ per cell
M_tot: 0.0 μB/cell
symmetry: P3m1, No. 156
energy of formation from the pure elements: 0.19 eV per atom

The structure in POSCAR format:
```
AcPm7Sm3
1.0
7.2839 0.0000 0.0000
-3.6419 6.3080 0.0000
0.0000 0.0000 8.8242
Ac Pm Sm
1 7 3
Direct
0.0000 0.0000 0.0000
0.0013 0.5007 0.9920
0.3333 0.6667 0.3213
0.3342 0.1671 0.3329
0.4993 0.5007 0.9920
0.4993 0.9987 0.9920
0.8329 0.1671 0.3329
0.8329 0.6658 0.3329
0.1680 0.3361 0.6576
0.1680 0.8320 0.6576
0.6639 0.8320 0.6576
```

---

(7)
VASP calculation (PBE) on AcPm3Sm2 after structural relaxation.

Values from the calculation:
raw total energy: -4.24 eV/atom
excess energy over the best structure of this formula in the dataset: 364.6 meV per atom
calculated volume: 221.48 Å³ per cell
M_tot: 0.0 μB/cell
symmetry: Imm2, No. 44
energy of formation from the pure elements: 0.39 eV per atom

The structure in POSCAR format:
```
AcPm3Sm2
1.0
-1.7501 5.2079 6.0749
1.7501 -5.2079 6.0749
1.7501 5.2079 -6.0749
Ac Pm Sm
1 3 2
Direct
0.0000 0.0000 0.0000
0.2525 0.7525 0.5000
0.5696 0.7393 0.8303
0.9090 0.7393 0.1697
0.3305 0.9917 0.3387
0.6530 0.9917 0.6613
```

---

(8)
VASP calculation (PBE) on Ac2Pm5Sm2 after structural relaxation.

Values from the calculation:
raw total energy: -4.37 eV/atom
excess energy over the best structure of this formula in the dataset: 199.2 meV per atom
calculated volume: 665.23 Å³ per cell
M_tot: 0.0 μB/cell
symmetry: Ima2, No. 46
energy of formation from the pure elements: 0.23 eV per atom

The structure in POSCAR format:
```
Ac2Pm5Sm2
1.0
-7.6675 4.9180 4.4103
7.6675 -4.9180 4.4103
7.6675 4.9180 -4.4103
Ac Pm Sm
4 10 4
Direct
0.0355 0.1256 0.1611
0.0355 0.3744 0.4099
0.9645 0.6256 0.5901
0.9645 0.8744 0.8389
0.1672 0.3076 0.7982
0.1672 0.8690 0.3596
0.4388 0.7957 0.9420
0.4388 0.9968 0.1431
0.5033 0.4200 0.5833
0.5093 0.3690 0.2018
0.5093 0.8076 0.6404
0.8367 0.9200 0.4167
0.8537 0.2957 0.8569
0.8537 0.4968 0.0580
0.3357 0.5980 0.2376
0.3604 0.0980 0.7624
0.6628 0.1628 0.5000
0.6628 0.6628 0.0000
```

---

> Look up the raw total energy of the third one.

-4.36 eV/atom

---

> What is the calculated volume in the sixth record?

405.45 Å³ per cell

---

> Which of these has the lowest energy of formation from the pure elements?

Ac2PmSm